(1)
Entry from Alexandria via LeMat-Bulk: a geometry-optimized LiMn3Rh structure (PBE-GGA).

space group: Pm-3m, No. 221
ΔH_f (0 K): 0.7526 eV/atom
total moment: 2.706 μB/atom
raw total energy: -33.0 eV for the cell shown

Cell: 4.8580 4.8580 4.8580 Å, 90.00 90.00 90.00°
Last column: nearest neighbours and their distance in Å.
Atoms (fractional coordinates):
Li  0.0000  0.0000  0.0000  12 Mn 3.44
Mn  0.0000  0.5000  0.5000  2 Rh 2.43
Mn  0.5000  0.0000  0.5000  2 Rh 2.43
Mn  0.5000  0.5000  0.0000  2 Rh 2.43
Rh  0.5000  0.5000  0.5000  6 Mn 2.43

=====

(2)
Entry from Alexandria via LeMat-Bulk: a geometry-optimized LiMnRh2 structure (PBE-GGA).

space group: C2/m, No. 12
ΔH_f (0 K): -0.0958 eV/atom
total moment: 1.034 μB/atom
raw total energy: -26.2 eV for the cell shown

Cell: 4.4632 4.4632 4.7537 Å, 100.79 100.79 36.18°
Last column: nearest neighbours and their distance in Å.
Atoms (fractional coordinates):
Li  0.0000  0.0000  0.0000  6 Rh 2.59-2.64, 4 Mn 2.75, 2 Li 2.77
Mn  0.5000  0.5000  0.5000  6 Rh 2.59-2.67, 4 Li 2.75, 2 Mn 2.77
Rh  0.2453  0.2453  0.7516  3 Li 2.59-2.64, 3 Mn 2.59-2.67, 6 Rh 2.73-2.78
Rh  0.7547  0.7547  0.2484  3 Li 2.59-2.64, 3 Mn 2.59-2.67, 6 Rh 2.73-2.78

=====

(3)
Entry from Alexandria via LeMat-Bulk: a geometry-optimized LiMnRh2 structure (PBE-GGA).

space group: P4/mmm, No. 123
ΔH_f (0 K): -0.1589 eV/atom
total moment: 0.716 μB/atom
raw total energy: -26.4 eV for the cell shown

Cell: 2.9877 2.9877 5.8027 Å, 90.00 90.00 90.00°
Last column: nearest neighbours and their distance in Å.
Atoms (fractional coordinates):
Li  0.0000  0.0000  0.0000  8 Rh 2.56
Mn  0.0000  0.0000  0.5000  8 Rh 2.56
Rh  0.5000  0.5000  0.2493  4 Li 2.56, 4 Mn 2.56
Rh  0.5000  0.5000  0.7507  4 Li 2.56, 4 Mn 2.56

=====

(4)
Entry from Alexandria via LeMat-Bulk: a geometry-optimized LiMnRh2 structure (PBE-GGA).

space group: P4/mmm, No. 123
ΔH_f (0 K): -0.1700 eV/atom
total moment: 0.757 μB/atom
raw total energy: -26.5 eV for the cell shown

Cell: 4.1499 4.1499 3.0140 Å, 90.00 90.00 90.00°
Last column: nearest neighbours and their distance in Å.
Atoms (fractional coordinates):
Li  0.0000  0.0000  0.0000  8 Rh 2.56
Mn  0.5000  0.5000  0.0000  8 Rh 2.56
Rh  0.0000  0.5000  0.5000  4 Mn 2.56, 4 Li 2.56
Rh  0.5000  0.0000  0.5000  4 Mn 2.56, 4 Li 2.56

=====

(5)
Entry from Alexandria via LeMat-Bulk: a geometry-optimized LiMn2Rh structure (PBE-GGA).

space group: Cmmm, No. 65
ΔH_f (0 K): 0.2468 eV/atom
total moment: 2.005 μB/atom
raw total energy: -26.6 eV for the cell shown

Cell: 2.7274 2.7274 8.7297 Å, 90.00 90.00 111.99°
Last column: nearest neighbours and their distance in Å.
Atoms (fractional coordinates):
Li  0.0000  0.0000  0.0000  6 Li 2.73-3.05, 4 Mn 2.76
Mn  0.5000  0.5000  0.2637  2 Rh 2.57, 4 Mn 2.73, 2 Li 2.76
Mn  0.5000  0.5000  0.7363  2 Rh 2.57, 4 Mn 2.73, 2 Li 2.76
Rh  0.0000  0.0000  0.5000  4 Mn 2.57, 4 Rh 2.73

=====

(6)
Entry from Alexandria via LeMat-Bulk: a geometry-optimized LiMn2Rh structure (PBE-GGA).

space group: P4/mmm, No. 123
ΔH_f (0 K): 0.0439 eV/atom
total moment: 1.901 μB/atom
raw total energy: -27.4 eV for the cell shown

Cell: 4.3465 4.3465 2.9528 Å, 90.00 90.00 90.00°
Last column: nearest neighbours and their distance in Å.
Atoms (fractional coordinates):
Li  0.0000  0.0000  0.0000  8 Mn 2.63
Mn  0.0000  0.5000  0.5000  4 Rh 2.63, 4 Li 2.63
Mn  0.5000  0.0000  0.5000  4 Rh 2.63, 4 Li 2.63
Rh  0.5000  0.5000  0.0000  8 Mn 2.63

=====

(7)
Entry from Alexandria via LeMat-Bulk: a geometry-optimized LiMnRh2 structure (PBE-GGA).

space group: Cmmm, No. 65
ΔH_f (0 K): -0.0538 eV/atom
total moment: 1.069 μB/atom
raw total energy: -26.0 eV for the cell shown

Cell: 2.7272 2.7272 8.3432 Å, 90.00 90.00 114.68°
Last column: nearest neighbours and their distance in Å.
Atoms (fractional coordinates):
Li  0.0000  0.0000  0.0000  4 Rh 2.61, 4 Li 2.73
Mn  0.0000  0.0000  0.5000  4 Rh 2.50, 4 Mn 2.73
Rh  0.5000  0.5000  0.2582  2 Mn 2.50, 2 Li 2.61, 4 Rh 2.73
Rh  0.5000  0.5000  0.7418  2 Mn 2.50, 2 Li 2.61, 4 Rh 2.73

=====

(8)
Entry from Alexandria via LeMat-Bulk: a geometry-optimized LiMn2Rh structure (PBE-GGA).

space group: P4/mmm, No. 123
ΔH_f (0 K): 0.1280 eV/atom
total moment: 2.130 μB/atom
raw total energy: -27.1 eV for the cell shown

Cell: 3.0419 3.0419 6.5304 Å, 90.00 90.00 90.00°
Last column: nearest neighbours and their distance in Å.
Atoms (fractional coordinates):
Li  0.0000  0.0000  0.0000  8 Mn 2.77, 4 Li 3.04
Mn  0.5000  0.5000  0.2678  4 Rh 2.63, 4 Li 2.77
Mn  0.5000  0.5000  0.7322  4 Rh 2.63, 4 Li 2.77
Rh  0.0000  0.0000  0.5000  8 Mn 2.63

=====

(9)
Entry from Alexandria via LeMat-Bulk: a geometry-optimized LiMnRh2 structure (PBE-GGA).

space group: I-4m2, No. 119
ΔH_f (0 K): -0.0824 eV/atom
total moment: 0.768 μB/atom
raw total energy: -26.1 eV for the cell shown

Cell: 4.7243 4.7243 4.7243 Å, 134.12 134.12 66.90°
Last column: nearest neighbours and their distance in Å.
Atoms (fractional coordinates):
Li  0.0000  0.0000  0.0000  8 Rh 2.60-2.70, 4 Mn 2.70
Mn  0.2500  0.7500  0.5000  8 Rh 2.60-2.70, 4 Li 2.70
Rh  0.5000  0.5000  0.0000  4 Li 2.60, 4 Mn 2.70, 4 Rh 2.70
Rh  0.7500  0.2500  0.5000  4 Mn 2.60, 4 Li 2.70, 4 Rh 2.70

=====

(10)
Entry from Alexandria via LeMat-Bulk: a geometry-optimized LiMn2Rh structure (PBE-GGA).

space group: Cm, No. 8
ΔH_f (0 K): 0.1166 eV/atom
total moment: 1.882 μB/atom
raw total energy: -27.1 eV for the cell shown

Cell: 4.9543 4.9543 4.5135 Å, 111.12 111.12 33.22°
Last column: nearest neighbours and their distance in Å.
Atoms (fractional coordinates):
Li  0.0000  0.0000  0.0000  7 Mn 2.59-2.68, 2 Rh 2.72, 2 Li 2.83
Mn  0.5112  0.5112  0.5120  3 Rh 2.59-2.67, 4 Li 2.65-2.68, 5 Mn 2.77-2.88
Mn  0.7565  0.7565  0.1303  3 Li 2.59-2.68, 4 Rh 2.64-2.69, 5 Mn 2.77-2.88
Rh  0.2541  0.2541  0.6215  7 Mn 2.59-2.69, 2 Li 2.72, 2 Rh 2.83

=====

(11)
Entry from Alexandria via LeMat-Bulk: a geometry-optimized LiMnRuRh structure (PBE-GGA).

space group: F-43m, No. 216
ΔH_f (0 K): -0.0193 eV/atom
total moment: 0.538 μB/atom
raw total energy: -27.8 eV for the cell shown

Cell: 4.1573 4.1573 4.1573 Å, 60.00 60.00 60.00°
Last column: nearest neighbours and their distance in Å.
Atoms (fractional coordinates):
Li  0.0000  0.0000  0.0000  4 Rh 2.55, 4 Ru 2.55
Mn  0.5000  0.5000  0.5000  4 Rh 2.55, 4 Ru 2.55
Ru  0.2500  0.2500  0.2500  4 Mn 2.55, 4 Li 2.55
Rh  0.7500  0.7500  0.7500  4 Mn 2.55, 4 Li 2.55

=====

(12)
Entry from Alexandria via LeMat-Bulk: a geometry-optimized LiMnSbRh structure (PBE-GGA).

energy relative to the elements, uncorrected: -0.378 eV/atom
space group: F-43m, No. 216
total moment: 0.999 μB/atom
raw total energy: -24.1 eV for the cell shown

Cell: 4.4407 4.4407 4.4407 Å, 60.00 60.00 60.00°
Last column: nearest neighbours and their distance in Å.
Atoms (fractional coordinates):
Li  0.0000  0.0000  0.0000  4 Mn 2.72, 4 Sb 2.72
Mn  0.2500  0.2500  0.2500  4 Li 2.72, 4 Rh 2.72
Sb  0.7500  0.7500  0.7500  4 Li 2.72, 4 Rh 2.72
Rh  0.5000  0.5000  0.5000  4 Mn 2.72, 4 Sb 2.72

=====

(13)
Entry from Alexandria via LeMat-Bulk: a geometry-optimized LiSmMnRh structure (PBE-GGA).

space group: F-43m, No. 216
ΔH_f (0 K): -0.1619 eV/atom
total moment: 1.003 μB/atom
raw total energy: -23.8 eV for the cell shown

Cell: 4.7024 4.7024 4.7024 Å, 60.00 60.00 60.00°
Last column: nearest neighbours and their distance in Å.
Atoms (fractional coordinates):
Li  0.0000  0.0000  0.0000  4 Mn 2.88, 4 Sm 2.88
Sm  0.2500  0.2500  0.2500  4 Li 2.88, 4 Rh 2.88
Mn  0.7500  0.7500  0.7500  4 Li 2.88, 4 Rh 2.88
Rh  0.5000  0.5000  0.5000  4 Mn 2.88, 4 Sm 2.88

=====

(14)
Entry from Alexandria via LeMat-Bulk: a geometry-optimized LiTbMnRh structure (PBE-GGA).

space group: F-43m, No. 216
ΔH_f (0 K): -0.2178 eV/atom
total moment: 0.996 μB/atom
raw total energy: -23.9 eV for the cell shown

Cell: 4.6496 4.6496 4.6496 Å, 60.00 60.00 60.00°
Last column: nearest neighbours and their distance in Å.
Atoms (fractional coordinates):
Li  0.0000  0.0000  0.0000  4 Tb 2.85, 4 Mn 2.85
Tb  0.7500  0.7500  0.7500  4 Rh 2.85, 4 Li 2.85
Mn  0.2500  0.2500  0.2500  4 Rh 2.85, 4 Li 2.85
Rh  0.5000  0.5000  0.5000  4 Tb 2.85, 4 Mn 2.85

=====

(15)
Entry from Alexandria via LeMat-Bulk: a geometry-optimized LiMnTe2Rh structure (PBE-GGA).

energy relative to the elements, uncorrected: 0.140 eV/atom
space group: P4/mmm, No. 123
total moment: 1.000 μB/atom
raw total energy: -24.0 eV for the cell shown

Cell: 5.3116 5.3116 4.8028 Å, 90.00 90.00 90.00°
Last column: nearest neighbours and their distance in Å.
Atoms (fractional coordinates):
Li  0.0000  0.0000  0.0000  8 Te 3.58, 4 Mn 3.76
Mn  0.5000  0.5000  0.0000  2 Rh 2.40
Te  0.0000  0.5000  0.5000  2 Rh 2.66
Te  0.5000  0.0000  0.5000  2 Rh 2.66
Rh  0.5000  0.5000  0.5000  2 Mn 2.40, 4 Te 2.66

=====

(16)
Entry from Alexandria via LeMat-Bulk: a geometry-optimized LiYMnRh structure (PBE-GGA).

space group: F-43m, No. 216
ΔH_f (0 K): -0.2188 eV/atom
total moment: 0.988 μB/atom
raw total energy: -25.8 eV for the cell shown

Cell: 4.6467 4.6467 4.6467 Å, 60.00 60.00 60.00°
Last column: nearest neighbours and their distance in Å.
Atoms (fractional coordinates):
Li  0.0000  0.0000  0.0000  4 Mn 2.85, 4 Y 2.85
Y  0.2500  0.2500  0.2500  4 Li 2.85, 4 Rh 2.85
Mn  0.7500  0.7500  0.7500  4 Li 2.85, 4 Rh 2.85
Rh  0.5000  0.5000  0.5000  4 Mn 2.85, 4 Y 2.85

=====

(17)
Entry from Alexandria via LeMat-Bulk: a geometry-optimized LiMn2Ru structure (PBE-GGA).

space group: Cmmm, No. 65
ΔH_f (0 K): 0.2187 eV/atom
total moment: 1.660 μB/atom
raw total energy: -28.7 eV for the cell shown

Cell: 4.3768 4.3768 2.8392 Å, 90.00 90.00 91.62°
Last column: nearest neighbours and their distance in Å.
Atoms (fractional coordinates):
Li  0.0000  0.0000  0.0000  8 Mn 2.61, 2 Li 2.84
Mn  0.0000  0.5000  0.5000  4 Li 2.61, 4 Ru 2.61, 2 Mn 2.84
Mn  0.5000  0.0000  0.5000  4 Li 2.61, 4 Ru 2.61, 2 Mn 2.84
Ru  0.5000  0.5000  0.0000  8 Mn 2.61, 2 Ru 2.84

=====

(18)
Entry from Alexandria via LeMat-Bulk: a geometry-optimized LiMn2Ru structure (PBE-GGA).

space group: P4/mmm, No. 123
ΔH_f (0 K): 0.2790 eV/atom
total moment: 1.743 μB/atom
raw total energy: -28.4 eV for the cell shown

Cell: 2.9156 2.9156 6.9476 Å, 90.00 90.00 90.00°
Last column: nearest neighbours and their distance in Å.
Atoms (fractional coordinates):
Li  0.0000  0.0000  0.0000  8 Mn 2.81, 4 Li 2.92
Mn  0.5000  0.5000  0.2748  4 Ru 2.59, 4 Li 2.81
Mn  0.5000  0.5000  0.7252  4 Ru 2.59, 4 Li 2.81
Ru  0.0000  0.0000  0.5000  8 Mn 2.59

=====

(19)
Entry from Alexandria via LeMat-Bulk: a geometry-optimized LiMnRu2 structure (PBE-GGA).

space group: Imm2, No. 44
ΔH_f (0 K): 0.1830 eV/atom
total moment: 0.649 μB/atom
raw total energy: -28.9 eV for the cell shown

Cell: 4.9207 4.9207 4.9207 Å, 144.90 129.97 62.58°
Last column: nearest neighbours and their distance in Å.
Atoms (fractional coordinates):
Li  0.0000  0.0000  0.0000  6 Ru 2.56-2.58, 2 Mn 2.57
Mn  0.2493  0.7493  0.5000  6 Ru 2.56, 2 Li 2.57
Ru  0.4980  0.4980  0.0000  4 Li 2.56, 2 Mn 2.56, 2 Ru 2.58
Ru  0.7494  0.2494  0.5000  4 Mn 2.56, 2 Li 2.58, 2 Ru 2.58

=====

(20)
Entry from Alexandria via LeMat-Bulk: a geometry-optimized LiMn2Ru structure (PBE-GGA).

space group: Imm2, No. 44
ΔH_f (0 K): 0.1474 eV/atom
total moment: 0.046 μB/atom
raw total energy: -28.9 eV for the cell shown

Cell: 4.8109 4.8109 4.8109 Å, 142.99 128.39 65.20°
Last column: nearest neighbours and their distance in Å.
Atoms (fractional coordinates):
Li  0.0000  0.0000  0.0000  8 Mn 2.59-2.87, 4 Ru 2.59-2.87
Mn  0.2583  0.7583  0.5000  2 Mn 2.46, 2 Li 2.59, 4 Ru 2.60
Mn  0.4969  0.4969  0.0000  2 Mn 2.46, 2 Ru 2.50, 4 Li 2.59
Ru  0.7413  0.2413  0.5000  6 Mn 2.50-2.60, 2 Li 2.59